VASP calculation (GGA-PBE) on PmEr2US8 after structural relaxation.

Crystal system: monoclinic
Uncorrected energy: -6.3361 eV per atom
Total magnetic moment: 0.00 μB per cell
Energy relative to the elements, uncorrected: -1487 meV per atom

Unit cell a=5.919 b=8.209 c=6.292 alpha=90.00 beta=90.53 gamma=90.00
Positions (direct):
1 Pm 0.000 0.000 0.000
2 Er 0.500 0.255 0.500
3 Er 0.500 0.745 0.500
4 U 0.000 0.500 0.000
5 S 0.218 0.000 0.419
6 S 0.247 0.500 0.340
7 S 0.250 0.270 0.864
8 S 0.250 0.730 0.864
9 S 0.750 0.270 0.136
10 S 0.750 0.730 0.136
11 S 0.753 0.500 0.660
12 S 0.782 0.000 0.581

VASP calculation (GGA-PBE) on Th8Te4RhC3 after structural relaxation.

Crystal system: trigonal
Uncorrected energy: -7.5006 eV per atom
Total magnetic moment: 0.00 μB per cell
Energy relative to the elements, uncorrected: -816 meV per atom

Unit cell a=8.748 b=8.748 c=8.748 alpha=54.74 beta=54.74 gamma=54.74
Positions (direct):
1 Th 0.211 0.740 0.740
2 Th 0.229 0.229 0.229
3 Th 0.260 0.260 0.789
4 Th 0.260 0.789 0.260
5 Th 0.740 0.211 0.740
6 Th 0.740 0.740 0.211
7 Th 0.771 0.771 0.771
8 Th 0.789 0.260 0.260
9 Te 0.000 0.000 0.000
10 Te 0.000 0.500 0.500
11 Te 0.500 0.000 0.500
12 Te 0.500 0.500 0.000
13 Rh 0.500 0.500 0.500
14 C 0.000 0.000 0.500
15 C 0.000 0.500 0.000
16 C 0.500 0.000 0.000

VASP calculation (GGA-PBE) on CdHgW2 after structural relaxation.

Crystal system: monoclinic
Uncorrected energy: -6.0182 eV per atom
Total magnetic moment: 0.00 μB per cell
Energy above the lowest structure with this stoichiometry: 331.9 meV per atom

Unit cell a=2.799 b=4.847 c=5.463 alpha=90.00 beta=102.07 gamma=90.00
Positions (direct):
1 Cd 0.000 0.000 0.000
2 Hg 0.500 0.000 0.500
3 W 0.271 0.500 0.758
4 W 0.729 0.500 0.242